Entry 1:
# Sm6ErTm2, relaxed, DFT PBE
data_Sm6ErTm2
_chemical_formula_sum 'Sm24 Er4 Tm8'
_cell_length_a 21.737
_cell_length_b 9.745
_cell_length_c 5.697
_cell_angle_alpha 90.00
_cell_angle_beta 105.15
_cell_angle_gamma 90.00
_symmetry_space_group_name_H-M 'C 1 2/c 1'
_symmetry_Int_Tables_number 15
loop_
_symmetry_equiv_pos_as_xyz
'x,y,z'
'-x,-y,-z'
'-x,y,-z+1/2'
'x,-y,z+1/2'
'x+1/2,y+1/2,z'
'-x+1/2,-y+1/2,-z'
'-x+1/2,y+1/2,-z+1/2'
'x+1/2,-y+1/2,z+1/2'
loop_
_atom_site_label
_atom_site_type_symbol
_atom_site_fract_x
_atom_site_fract_y
_atom_site_fract_z
_atom_site_occupancy
Sm1 Sm 0.084 0.081 0.313 1
Sm2 Sm 0.084 0.416 0.353 1
Sm3 Sm 0.169 0.252 0.919 1
Er1 Er 0.000 0.251 0.750 1
Tm1 Tm 0.249 0.083 0.513 1
# **Calculated formation energy**: 0.6 eV per formula unit
# **Magnetization**: 0.000 μB per atom
# **Density**: 8.024 g/cm³
# **Electronic total energy**: -165.0 eV for the cell shown
# **Distance to the lowest polymorph of the same formula**: 0.0 meV per atom

Entry 2:
# MgNiRuW, relaxed, DFT PBE
data_MgNiRuW
_chemical_formula_sum 'Mg4 Ni4 Ru4 W4'
_cell_length_a 6.123
_cell_length_b 6.123
_cell_length_c 6.123
_cell_angle_alpha 90.00
_cell_angle_beta 90.00
_cell_angle_gamma 90.00
_symmetry_space_group_name_H-M 'F -4 3 m'
_symmetry_Int_Tables_number 216
_symmetry_space_group_name_Hall 'F -4 2 3'
loop_
_atom_site_label
_atom_site_type_symbol
_atom_site_fract_x
_atom_site_fract_y
_atom_site_fract_z
_atom_site_occupancy
Mg1 Mg 0.000 0.000 0.000 1
Ni1 Ni 0.250 0.250 0.250 1
Ru1 Ru 0.250 0.250 0.750 1
W1 W 0.000 0.000 0.500 1
# **Calculated formation energy**: 0.1 eV per formula unit
# **Magnetization**: 0.000 μB per atom
# **Density**: 10.644 g/cm³
# **Electronic total energy**: -117.9 eV for the cell shown

Entry 3:
# AlCrS2Cl, relaxed, DFT PBE
data_AlCrS2Cl
_chemical_formula_sum 'Al1 Cr1 S2 Cl1'
_cell_length_a 4.625
_cell_length_b 4.625
_cell_length_c 4.771
_cell_angle_alpha 90.00
_cell_angle_beta 90.00
_cell_angle_gamma 90.00
_symmetry_space_group_name_H-M 'P 4/m m m'
_symmetry_Int_Tables_number 123
_symmetry_space_group_name_Hall '-P 4 2'
loop_
_atom_site_label
_atom_site_type_symbol
_atom_site_fract_x
_atom_site_fract_y
_atom_site_fract_z
_atom_site_occupancy
Al1 Al 0.000 0.000 0.000 1
Cr1 Cr 0.500 0.500 0.500 1
S1 S 0.000 0.500 0.500 1
Cl1 Cl 0.500 0.500 0.000 1
# **Formation energy from raw total energies**: -0.126 eV/atom
# **Magnetization**: 0.436 μB per atom
# **Density**: 2.905 g/cm³
# **Electronic total energy**: -24.1 eV for the cell shown
# **Distance to the lowest polymorph of the same formula**: 27.5 meV per atom

Entry 4:
# ErPuAgPb, relaxed, DFT PBE
data_ErPuAgPb
_chemical_formula_sum 'Er4 Pu4 Ag4 Pb4'
_cell_length_a 7.496
_cell_length_b 7.496
_cell_length_c 7.496
_cell_angle_alpha 90.00
_cell_angle_beta 90.00
_cell_angle_gamma 90.00
_symmetry_space_group_name_H-M 'F -4 3 m'
_symmetry_Int_Tables_number 216
_symmetry_space_group_name_Hall 'F -4 2 3'
loop_
_atom_site_label
_atom_site_type_symbol
_atom_site_fract_x
_atom_site_fract_y
_atom_site_fract_z
_atom_site_occupancy
Er1 Er 0.000 0.000 0.000 1
Pu1 Pu 0.000 0.000 0.500 1
Ag1 Ag 0.250 0.250 0.250 1
Pb1 Pb 0.250 0.250 0.750 1
# **Calculated formation energy**: -0.8 eV per formula unit
# **Magnetization**: 1.554 μB per atom
# **Density**: 11.452 g/cm³
# **Electronic total energy**: -104.9 eV for the cell shown

Entry 5:
# FeSiAuI2, relaxed, DFT PBE
data_FeSiAuI2
_chemical_formula_sum 'Fe1 Si1 Au1 I2'
_cell_length_a 5.663
_cell_length_b 5.663
_cell_length_c 4.538
_cell_angle_alpha 90.00
_cell_angle_beta 90.00
_cell_angle_gamma 90.00
_symmetry_space_group_name_H-M 'P 4/m m m'
_symmetry_Int_Tables_number 123
_symmetry_space_group_name_Hall '-P 4 2'
loop_
_atom_site_label
_atom_site_type_symbol
_atom_site_fract_x
_atom_site_fract_y
_atom_site_fract_z
_atom_site_occupancy
Fe1 Fe 0.000 0.000 0.000 1
Si1 Si 0.000 0.000 0.500 1
Au1 Au 0.500 0.500 0.000 1
I1 I 0.000 0.500 0.500 1
# **Formation energy from raw total energies**: 0.833 eV/atom
# **Magnetization**: 0.657 μB per atom
# **Density**: 6.101 g/cm³
# **Electronic total energy**: -16.1 eV for the cell shown

Entry 6:
# ZrIn2CoN, relaxed, DFT PBE
data_ZrIn2CoN
_chemical_formula_sum 'Zr1 In2 Co1 N1'
_cell_length_a 4.586
_cell_length_b 4.586
_cell_length_c 4.302
_cell_angle_alpha 90.00
_cell_angle_beta 90.00
_cell_angle_gamma 90.00
_symmetry_space_group_name_H-M 'P 4/m m m'
_symmetry_Int_Tables_number 123
_symmetry_space_group_name_Hall '-P 4 2'
loop_
_atom_site_label
_atom_site_type_symbol
_atom_site_fract_x
_atom_site_fract_y
_atom_site_fract_z
_atom_site_occupancy
Zr1 Zr 0.000 0.000 0.000 1
In1 In 0.000 0.500 0.500 1
Co1 Co 0.500 0.500 0.000 1
N1 N 0.000 0.000 0.500 1
# **Formation energy from raw total energies**: 0.238 eV/atom
# **Magnetization**: 0.260 μB per atom
# **Density**: 7.229 g/cm³
# **Electronic total energy**: -28.3 eV for the cell shown

Entry 7:
# Ta2InHIr, relaxed, DFT PBE
data_Ta2InHIr
_chemical_formula_sum 'Ta2 In1 H1 Ir1'
_cell_length_a 4.022
_cell_length_b 4.022
_cell_length_c 4.517
_cell_angle_alpha 90.00
_cell_angle_beta 90.00
_cell_angle_gamma 90.00
_symmetry_space_group_name_H-M 'P 4/m m m'
_symmetry_Int_Tables_number 123
_symmetry_space_group_name_Hall '-P 4 2'
loop_
_atom_site_label
_atom_site_type_symbol
_atom_site_fract_x
_atom_site_fract_y
_atom_site_fract_z
_atom_site_occupancy
Ta1 Ta 0.000 0.500 0.000 1
In1 In 0.000 0.000 0.500 1
H1 H 0.000 0.000 0.000 1
Ir1 Ir 0.500 0.500 0.500 1
# **Magnetization**: 0.000 μB per atom
# **Density**: 15.222 g/cm³
# **Electronic total energy**: -38.6 eV for the cell shown

Entry 8:
# Ba4Pb2Au, relaxed, DFT PBE
data_Ba4Pb2Au
_chemical_formula_sum 'Ba8 Pb4 Au2'
_cell_length_a 6.315
_cell_length_b 6.315
_cell_length_c 17.059
_cell_angle_alpha 90.00
_cell_angle_beta 90.00
_cell_angle_gamma 90.00
_symmetry_space_group_name_H-M 'I 4/m m m'
_symmetry_Int_Tables_number 139
_symmetry_space_group_name_Hall '-I 4 2'
loop_
_atom_site_label
_atom_site_type_symbol
_atom_site_fract_x
_atom_site_fract_y
_atom_site_fract_z
_atom_site_occupancy
Ba1 Ba 0.000 0.000 0.193 1
Ba2 Ba 0.000 0.500 0.000 1
Pb1 Pb 0.000 0.000 0.393 1
Au1 Au 0.000 0.000 0.000 1
# **Calculated formation energy**: -2.9 eV per formula unit
# **Magnetization**: 0.000 μB per atom
# **Density**: 5.667 g/cm³
# **Electronic total energy**: -42.6 eV for the cell shown